## MnCoOsO6 (PBE+U)

Data for an optimized crystal structure of MnCoOsO6.

For the total energy, the calculation gives -126.4 eV/cell. The calculation puts the volume at 198 Å³/cell. The total magnetization is 0.667 μB/atom. As for the space group: P-31c, No. 163.

Cell and atoms, written as CIF:
```
data_MnCoOsO6
_chemical_formula_sum 'Mn2 Co2 Os2 O12'
_symmetry_space_group_name_H-M 'P 1'
_symmetry_Int_Tables_number 1
_symmetry_space_group_name_Hall 'P 1'
_cell_length_a 4.9845
_cell_length_b 4.9845
_cell_length_c 9.1858
_cell_angle_alpha 90.00
_cell_angle_beta 90.00
_cell_angle_gamma 120.00
loop_
_atom_site_label
_atom_site_type_symbol
_atom_site_fract_x
_atom_site_fract_y
_atom_site_fract_z
Mn1 Mn 0.0000 0.0000 0.0000
Mn2 Mn 0.0000 0.0000 0.5000
Co1 Co 0.6667 0.3333 0.2500
Co2 Co 0.3333 0.6667 0.7500
Os1 Os 0.3333 0.6667 0.2500
Os2 Os 0.6667 0.3333 0.7500
O1 O 0.6399 0.6401 0.1358
O2 O 0.0001 0.3601 0.1358
O3 O 0.3601 0.0001 0.6358
O4 O 0.9999 0.6399 0.8642
O5 O 0.3599 0.3601 0.3642
O6 O 0.0001 0.6401 0.3642
O7 O 0.6401 0.0001 0.8642
O8 O 0.6399 0.9999 0.3642
O9 O 0.9999 0.3599 0.6358
O10 O 0.3599 0.9999 0.1358
O11 O 0.6401 0.6399 0.6358
O12 O 0.3601 0.3599 0.8642
```